## PuInFe2O6 (PBE+U)

Data for a relaxed PuInFe2O6 crystal.

Summary:
Total energy   -7.6828 eV/atom
Space-group type   P1, No. 1
Crystal system   triclinic
Mass density   7.35 g/cm3
DOS(E_F)   0.87 states/eV/atom

a b c (Å): 5.4804 5.4962 5.8609
angles (deg): 62.20 61.32 59.88
Each line ends with the local moment (μB).
Positions (direct):
1 O 0.2205 0.9174 0.2524  -0.04
2 O 0.9119 0.5953 0.2638  -0.03
3 O 0.7126 0.1156 0.7604  -0.04
4 O 0.6194 0.2119 0.2466  -0.02
5 O 0.4025 0.7240 0.7668  -0.02
6 O 0.1218 0.4199 0.7453  -0.02
7 Fe 0.0244 0.0251 0.9429  3.74
8 Fe 0.5223 0.5210 0.4297  3.75
9 Pu 0.3161 0.3172 0.0458  3.51
10 In 0.8101 0.8142 0.5615  0.01